5
Lattice="5.564 0.000 0.000 0.000 5.564 0.000 0.000 0.000 3.610" Properties=species:S:1:pos:R:3 comment="MnRhI2O | Alexandria | GGA+U | optimized geometry" magmom_total_mub_per_fu=0.37 dft_energy_ev_per_atom=-4.1286 pbc="T T T"
Mn 0.000 0.000 0.000
Rh 2.782 2.782 1.805
I 0.000 2.782 0.000
I 2.782 0.000 0.000
O 0.000 0.000 1.805